(A)
The following is a DFT calculation (PBE-GGA) of a geometry-optimized YScC2 structure.

Output
M_tot in μB per atom: 0.164

abc: 5.087 5.087 6.694
angles: 67.67 67.67 90.00
Last column: magnetic moment on the atom in μB.
Fractional coordinates of all 8 atoms:
Y 0.000 0.000 0.000  0.07
Y 0.750 0.250 0.500  0.07
Sc 0.500 0.500 0.000  0.05
Sc 0.250 0.750 0.500  0.05
C 0.596 0.125 0.250  0.15
C 0.154 0.625 0.250  0.14
C 0.375 0.404 0.750  0.15
C 0.875 0.846 0.750  0.14

(B)
The following is a DFT calculation (PBE-GGA) of a geometry-optimized YScC2 structure.

Output
M_tot in μB per atom: 0.000

abc: 3.473 3.473 5.958
angles: 73.05 73.05 60.00
Fractional coordinates of all 4 atoms:
Y 0.500 0.500 0.500
Sc 0.000 0.000 0.000
C 0.257 0.257 0.230
C 0.743 0.743 0.770

Most stable pick: (B). Distance to second place: 46.9 kJ/mol of atoms.